Entry from Alexandria via LeMat-Bulk: a geometry-optimized CsLi3Au structure (PBE-GGA).

Computed properties:
total magnetization: 0.0 μB per formula unit
distance to the lowest polymorph of the same formula: 1.0078 eV/atom
energy of formation from the pure elements: 0.914 eV/atom

a = 5.1113 Å, b = 5.1113 Å, c = 5.1113 Å
α = 90.00°, β = 90.00°, γ = 90.00°
Closest atoms and distances in Å follow each position.
Space group Pm-3m (No. 221)
Asymmetric unit:
Cs (0.0000, 0.0000, 0.0000) [1 per cell]  6 Li 2.56
Li (0.0000, 0.0000, 0.5000) [3 per cell]  2 Cs 2.56
Au (0.5000, 0.5000, 0.5000) [1 per cell]  12 Li 3.61